Below is WSeO5F after structural relaxation, with properties calculated at the GGA+U level.

Calculated values
Its magnetic moment is 0.00 μB per cell. The final energy comes out at -93.35 eV/cell.

```
data_WSeO5F
_chemical_formula_sum 'W2 Se2 O10 F2'
_cell_length_a 5.390
_cell_length_b 5.390
_cell_length_c 7.478
_cell_angle_alpha 103.53
_cell_angle_beta 103.53
_cell_angle_gamma 93.10
_symmetry_space_group_name_H-M 'P 1'
_symmetry_Int_Tables_number 1
loop_
_symmetry_equiv_pos_as_xyz
'x,y,z'
loop_
_atom_site_label
_atom_site_type_symbol
_atom_site_fract_x
_atom_site_fract_y
_atom_site_fract_z
O1 O 0.324 0.864 0.613
O2 O 0.166 0.343 0.561
O3 O 0.657 0.834 0.939
O4 O 0.136 0.676 0.887
W1 W 0.000 0.000 0.000
O5 O 0.062 0.938 0.250
O6 O 0.343 0.166 0.061
W2 W 0.000 0.000 0.500
Se1 Se 0.373 0.627 0.750
Se2 Se 0.627 0.373 0.250
O7 O 0.676 0.136 0.387
F1 F 0.388 0.612 0.250
O8 O 0.834 0.657 0.439
O9 O 0.864 0.324 0.113
O10 O 0.938 0.062 0.750
F2 F 0.612 0.388 0.750
```